(1)
! La3CoPb PBE-GGA optimized geometry; values from VASP
&SYSTEM
  ibrav = 0, nat = 10, ntyp = 3
/
ATOMIC_SPECIES
Pb 207.20 Pb.upf
La 138.91 La.upf
Co 58.93 Co.upf
ATOMIC_POSITIONS crystal
Pb 0.318 0.850 0.184
La 0.485 0.816 0.684
La 0.373 0.346 0.418
Pb 0.971 0.599 0.686
La 0.916 0.102 0.920
Co 0.638 0.401 0.684
La 0.916 0.103 0.452
Co 0.651 0.048 0.186
La 0.805 0.633 0.186
La 0.373 0.347 0.950
CELL_PARAMETERS angstrom
-2.016 1.893 -6.328
-0.459 -5.385 -2.804
-6.912 -0.477 2.006
! calculated formation energy	-163	kJ/mol of formula units
! energy	-54.6	eV per cell
! mass density	7.6	g/cm³

(2)
! LiCaPrRh PBE-GGA optimized geometry; values from VASP
&SYSTEM
  ibrav = 0, nat = 4, ntyp = 4
/
ATOMIC_SPECIES
Rh 102.91 Rh.upf
Ca 40.08 Ca.upf
Pr 140.91 Pr.upf
Li 6.94 Li.upf
ATOMIC_POSITIONS crystal
Rh 0.500 0.500 0.500
Ca 0.250 0.250 0.250
Pr 0.750 0.750 0.750
Li 0.000 0.000 0.000
CELL_PARAMETERS angstrom
5.082 0.000 0.000
2.541 4.401 0.000
2.541 1.467 4.149
! calculated formation energy	-112	kJ/mol of formula units
! energy	-17.2	eV per cell
! mass density	5.2	g/cm³

(3)
! LaTaAs2 PBE-GGA optimized geometry; values from VASP
&SYSTEM
  ibrav = 0, nat = 4, ntyp = 3
/
ATOMIC_SPECIES
La 138.91 La.upf
As 74.92 As.upf
Ta 180.95 Ta.upf
ATOMIC_POSITIONS crystal
La 0.000 0.000 0.000
As 0.250 0.250 0.250
Ta 0.500 0.500 0.500
As 0.750 0.750 0.750
CELL_PARAMETERS angstrom
-1.877 1.142 4.372
-4.440 -1.628 1.257
-0.457 -3.448 3.442
! calculated formation energy	-175	kJ/mol of formula units
! energy	-27.9	eV per cell
! mass density	9.4	g/cm³

(4)
! TaSb2PtI PBE-GGA optimized geometry; values from VASP
&SYSTEM
  ibrav = 0, nat = 5, ntyp = 4
/
ATOMIC_SPECIES
Sb 121.76 Sb.upf
Ta 180.95 Ta.upf
I 126.90 I.upf
Pt 195.08 Pt.upf
ATOMIC_POSITIONS crystal
Sb 0.000 0.500 0.000
Ta 0.000 0.000 0.000
I 0.000 0.000 0.500
Sb 0.500 0.000 0.000
Pt 0.500 0.500 0.500
CELL_PARAMETERS angstrom
5.384 0.000 0.000
0.000 5.384 0.000
0.000 0.000 5.208
! energy	-23.0	eV per cell
! mass density	8.2	g/cm³
! formation energy without anion corrections	4.67	eV per formula unit